No. 1
Entry from Alexandria via LeMat-Bulk: a geometry-optimized SrCa2Er structure (GGA-PBE).

Lattice parameters (Å, degrees): 6.1550 6.1550 4.2144 90.00 90.00 90.00
Space group P4/mmm (No. 123)
Symmetry-distinct sites (fractional):
Sr1 0.0000 0.0000 0.0000 x1
Ca1 0.0000 0.5000 0.5000 x2
Er1 0.5000 0.5000 0.0000 x1

Calculated values
The distance to the lowest polymorph of the same formula is 21 kJ/mol of formula units.


No. 2
Entry from Alexandria via LeMat-Bulk: a geometry-optimized Pu2CdO11 structure (GGA-PBE).

Lattice parameters (Å, degrees): 8.5967 10.2530 10.7836 90.00 90.00 90.00
Space group Ibam (No. 72)
Symmetry-distinct sites (fractional):
Pu1 0.2140 0.2439 0.0000 x8
Cd1 0.0000 0.0000 0.2500 x4
O1 0.0000 0.5000 0.0000 x4
O2 0.0326 0.3476 0.5000 x8
O3 0.1347 0.1329 0.1211 x16
O4 0.2100 0.1477 0.3796 x16

Calculated values
The value obtained for the formation energy without anion corrections is -1.2656 eV/atom.


No. 3
Entry from Alexandria via LeMat-Bulk: a geometry-optimized LiErAg2 structure (GGA-PBE).

Lattice parameters (Å, degrees): 4.8233 6.4735 5.1834 90.00 90.00 90.00
Space group Pmmn (No. 59, origin choice 2)
Symmetry-distinct sites (fractional):
Li1 0.2500 0.2500 0.2398 x2
Er1 0.2500 0.7500 0.1722 x2
Ag1 0.2500 0.5045 0.6766 x4

Calculated values
The distance to the lowest polymorph of the same formula is 3 kJ/mol of formula units.


No. 4
Entry from Alexandria via LeMat-Bulk: a geometry-optimized Ba2TlRh structure (GGA-PBE).

Lattice parameters (Å, degrees): 4.8178 4.7962 12.5242 90.00 90.00 90.00
Space group Amm2 (No. 38)
Symmetry-distinct sites (fractional):
Ba1 0.0000 0.0000 0.0000 x2
Ba2 0.5000 0.0000 0.2765 x2
Tl1 0.0000 0.0000 0.7025 x2
Rh1 0.5000 0.0000 0.5914 x2

Calculated values
The distance to the lowest polymorph of the same formula is 4 kJ/mol of formula units.